Record 1
Material: SrLiLu
Method: DFT, PBE
State: optimized geometry

Output
SG: No. 216

Cell lengths 5.363, 5.363, 5.363 Å; angles 60.00, 60.00, 60.00 degrees
Atoms (fractional coordinates):
Li 0.000 0.000 0.000
Sr 0.750 0.750 0.750
Lu 0.250 0.250 0.250

Record 2
Material: SrLiLuTe3
Method: DFT, PBE
State: optimized geometry

Output
SG: No. 12

Cell lengths 11.453, 11.453, 7.818 Å; angles 98.08, 98.08, 21.22 degrees
Atoms (fractional coordinates):
Te 0.653 0.653 0.942
Te 0.000 0.000 0.000
Sr 0.784 0.784 0.766
Lu 0.090 0.090 0.691
Sr 0.216 0.216 0.234
Te 0.660 0.660 0.483
Te 0.500 0.500 0.500
Li 0.441 0.441 0.818
Li 0.559 0.559 0.182
Te 0.347 0.347 0.058
Te 0.340 0.340 0.517
Lu 0.910 0.910 0.309

Record 3
Material: SrLiLuTe3
Method: DFT, PBE
State: optimized geometry

Output
SG: No. 11

Cell lengths 8.386, 4.377, 10.576 Å; angles 90.00, 106.20, 90.00 degrees
Atoms (fractional coordinates):
Sr 0.748 0.250 0.294
Sr 0.252 0.750 0.706
Lu 0.189 0.250 0.160
Li 0.415 0.750 0.409
Li 0.585 0.250 0.591
Te 0.071 0.250 0.860
Te 0.761 0.750 0.543
Te 0.434 0.750 0.156
Te 0.929 0.750 0.140
Te 0.239 0.250 0.457
Te 0.566 0.250 0.844
Lu 0.811 0.750 0.840

Record 4
Material: SrLiLuTe3
Method: DFT, PBE
State: optimized geometry

Output
SG: No. 62

Cell lengths 14.683, 4.400, 11.487 Å; angles 90.00, 90.00, 90.00 degrees
Atoms (fractional coordinates):
Li 0.993 0.250 0.091
Te 0.355 0.250 0.246
Lu 0.984 0.750 0.332
Lu 0.516 0.250 0.832
Li 0.493 0.250 0.409
Te 0.894 0.750 0.569
Te 0.896 0.250 0.882
Te 0.106 0.250 0.431
Li 0.007 0.750 0.909
Te 0.604 0.750 0.382
Te 0.606 0.250 0.069
Li 0.507 0.750 0.591
Lu 0.484 0.750 0.168
Sr 0.225 0.250 0.959
Te 0.145 0.750 0.746
Te 0.645 0.750 0.754
Sr 0.275 0.750 0.459
Te 0.396 0.250 0.618
Sr 0.725 0.250 0.541
Sr 0.775 0.750 0.041
Te 0.104 0.750 0.118
Te 0.394 0.750 0.931
Lu 0.016 0.250 0.668
Te 0.855 0.250 0.254

Record 5
Material: LiLuTa
Method: DFT, PBE
State: optimized geometry

Output
SG: No. 216

Cell lengths 4.761, 4.761, 4.761 Å; angles 60.00, 60.00, 60.00 degrees
Atoms (fractional coordinates):
Lu 0.750 0.750 0.750
Li 0.250 0.250 0.250
Ta 0.000 0.000 0.000

Record 6
Material: LiTbLu
Method: DFT, PBE
State: optimized geometry

Output
SG: No. 216

Cell lengths 4.987, 4.987, 4.987 Å; angles 60.00, 60.00, 60.00 degrees
Atoms (fractional coordinates):
Tb 0.750 0.750 0.750
Li 0.000 0.000 0.000
Lu 0.250 0.250 0.250

Per-record E above lowest polymorph, meV/atom: 0, 156, 8, 0, 0, 0